1.
Density functional theory data (PBE) for a geometry-optimized InBiH4 structure.

Cell lengths 6.2437, 6.2437, 9.9505 Å; angles 90.00, 90.00, 90.00 degrees
With the nearest neighbours (Å) after each atom.
Space group I4_1/a (No. 88, origin choice 2)
Inequivalent atoms, fractional coordinates:
In  0.0000  0.2500  0.1250 (multiplicity 4)  4 H 1.86
Bi  0.0000  0.2500  0.6250 (multiplicity 4)  4 H 2.15
H  0.0105  0.4992  0.2268 (multiplicity 16)  1 In 1.86


2.
Density functional theory data (PBE) for a geometry-optimized InBiH3 structure.

Cell lengths 4.3602, 4.3602, 4.3602 Å; angles 90.00, 90.00, 90.00 degrees
With the nearest neighbours (Å) after each atom.
Space group Pm-3m (No. 221)
Inequivalent atoms, fractional coordinates:
In  0.0000  0.0000  0.0000 (multiplicity 1)  12 H 3.08
Bi  0.5000  0.5000  0.5000 (multiplicity 1)  6 H 2.18
H  0.0000  0.5000  0.5000 (multiplicity 3)  2 Bi 2.18


3.
Density functional theory data (PBE) for a geometry-optimized In3BiH structure.

Cell lengths 4.9269, 4.9269, 4.9269 Å; angles 90.00, 90.00, 90.00 degrees
With the nearest neighbours (Å) after each atom.
Space group Pm-3m (No. 221)
Inequivalent atoms, fractional coordinates:
In  0.0000  0.0000  0.5000 (multiplicity 3)  2 H 2.46
Bi  0.5000  0.5000  0.5000 (multiplicity 1)  12 In 3.48
H  0.0000  0.0000  0.0000 (multiplicity 1)  6 In 2.46


4.
Density functional theory data (PBE) for a geometry-optimized InBi3H structure.

Cell lengths 5.0309, 5.0309, 5.0309 Å; angles 90.00, 90.00, 90.00 degrees
With the nearest neighbours (Å) after each atom.
Space group Pm-3m (No. 221)
Inequivalent atoms, fractional coordinates:
In  0.0000  0.0000  0.0000 (multiplicity 1)  12 Bi 3.56
Bi  0.0000  0.5000  0.5000 (multiplicity 3)  2 H 2.52
H  0.5000  0.5000  0.5000 (multiplicity 1)  6 Bi 2.52


5.
Density functional theory data (PBE) for a geometry-optimized InBi2H structure.

Cell lengths 3.2992, 7.6686, 9.1854 Å; angles 85.52, 89.49, 78.22 degrees
With the nearest neighbours (Å) after each atom.
Space group P-1 (No. 2)
Inequivalent atoms, fractional coordinates:
In  0.0572  0.4167  0.3624 (multiplicity 2)  1 In 2.91, 3 Bi 3.08-3.21
Bi  0.1858  0.0237  0.2910 (multiplicity 2)  1 H 1.86
Bi  0.4379  0.6455  0.1185 (multiplicity 2)  2 H 2.96-3.09, 2 In 3.15-3.21, 3 Bi 3.20-3.30
H  0.1299  0.1279  0.1011 (multiplicity 2)  1 Bi 1.86


6.
Density functional theory data (PBE) for a geometry-optimized InBi2H2 structure.

Cell lengths 4.3723, 6.9071, 9.2966 Å; angles 92.70, 103.52, 92.49 degrees
With the nearest neighbours (Å) after each atom.
Space group P-1 (No. 2)
Inequivalent atoms, fractional coordinates:
In  0.1856  0.0440  0.3687 (multiplicity 2)  1 H 1.75
Bi  0.0726  0.6793  0.1883 (multiplicity 2)  1 In 2.92, 2 Bi 3.06, 1 H 3.23
Bi  0.4704  0.7812  0.9689 (multiplicity 2)  3 Bi 3.04-3.06
H  0.2079  0.2977  0.3756 (multiplicity 2)  1 In 1.75
H  0.2858  0.9766  0.5761 (multiplicity 2)  1 In 1.96


7.
Density functional theory data (PBE) for a geometry-optimized In4Bi2H structure.

Cell lengths 4.6413, 4.6413, 17.3501 Å; angles 90.00, 90.00, 90.00 degrees
With the nearest neighbours (Å) after each atom.
Space group I4/mmm (No. 139)
Inequivalent atoms, fractional coordinates:
In  0.0000  0.0000  0.1767 (multiplicity 4)  1 H 3.07, 5 Bi 3.19-3.35
In  0.0000  0.5000  0.0000 (multiplicity 4)  2 H 2.32
Bi  0.0000  0.0000  0.3606 (multiplicity 4)  9 In 3.19-3.35
H  0.0000  0.0000  0.0000 (multiplicity 2)  4 In 2.32


8.
Density functional theory data (PBE) for a geometry-optimized InBi2H3 structure.

Cell lengths 5.3043, 5.4534, 8.9662 Å; angles 99.94, 98.65, 100.00 degrees
With the nearest neighbours (Å) after each atom.
Space group P-1 (No. 2)
Inequivalent atoms, fractional coordinates:
In  0.1453  0.3619  0.2488 (multiplicity 2)  2 H 2.03-2.06
Bi  0.2417  0.8333  0.5446 (multiplicity 2)  2 H 1.99-2.08
Bi  0.3319  0.7462  0.0450 (multiplicity 2)  2 H 1.97-2.09
H  0.1484  0.9943  0.1445 (multiplicity 2)  1 Bi 1.97, 1 In 2.06
H  0.4026  0.0910  0.7500 (multiplicity 2)  2 Bi 2.08-2.09
H  0.4940  0.6519  0.6428 (multiplicity 2)  1 Bi 1.99, 1 In 2.03


9.
Density functional theory data (PBE) for a geometry-optimized In3Bi3H structure.

Cell lengths 8.0550, 8.1429, 8.3000 Å; angles 61.39, 72.34, 66.97 degrees
With the nearest neighbours (Å) after each atom.
Space group P-1 (No. 2)
Inequivalent atoms, fractional coordinates:
In  0.0700  0.4841  0.3214 (multiplicity 2)  2 In 2.93-3.16, 3 Bi 3.01-3.25
In  0.1466  0.7800  0.6536 (multiplicity 2)  4 Bi 3.01-3.29, 2 In 3.16-3.35
In  0.1508  0.1077  0.0056 (multiplicity 2)  4 Bi 3.02-3.26, 2 In 3.35
Bi  0.2903  0.7148  0.9862 (multiplicity 2)  1 H 2.55
Bi  0.3003  0.0804  0.3156 (multiplicity 2)  4 In 3.01-3.29
Bi  0.3718  0.3487  0.6527 (multiplicity 2)  1 H 1.88
H  0.4736  0.3452  0.8305 (multiplicity 2)  1 Bi 1.88


10.
Density functional theory data (PBE) for a geometry-optimized In3BiH2 structure.

Cell lengths 10.9257, 10.0407, 4.8221 Å; angles 90.00, 91.21, 90.00 degrees
With the nearest neighbours (Å) after each atom.
Space group C2/c (No. 15)
Inequivalent atoms, fractional coordinates:
In  0.0000  0.1550  0.2500 (multiplicity 4)  2 H 1.87
In  0.2350  0.3778  0.2638 (multiplicity 8)  1 H 2.21
Bi  0.0000  0.3406  0.7500 (multiplicity 4)  2 In 3.05
H  0.1402  0.0483  0.2864 (multiplicity 8)  1 In 1.87


11.
Density functional theory data (PBE) for a geometry-optimized InBi2H structure.

Cell lengths 7.9186, 7.9186, 6.3784 Å; angles 90.00, 90.00, 90.00 degrees
With the nearest neighbours (Å) after each atom.
Space group I-42d (No. 122)
Inequivalent atoms, fractional coordinates:
In  0.0000  0.0000  0.0000 (multiplicity 4)  2 H 3.19, 4 Bi 3.26
Bi  0.1242  0.2500  0.6250 (multiplicity 8)  2 H 2.35
H  0.0000  0.0000  0.5000 (multiplicity 4)  4 Bi 2.35


12.
Density functional theory data (PBE) for a geometry-optimized In4Bi2H3 structure.

Cell lengths 5.2384, 5.2481, 7.5880 Å; angles 87.73, 88.64, 89.87 degrees
With the nearest neighbours (Å) after each atom.
Space group P-1 (No. 2)
Inequivalent atoms, fractional coordinates:
In  0.2121  0.2956  0.1616 (multiplicity 2)  2 H 1.94-1.96
In  0.2316  0.0531  0.7699 (multiplicity 2)  1 H 2.07
Bi  0.3081  0.7054  0.4189 (multiplicity 2)  3 In 3.01-3.30, 1 Bi 3.18
H  0.0000  0.5000  0.0000 (multiplicity 1)  2 In 1.96
H  0.4432  0.7887  0.9133 (multiplicity 2)  2 In 1.94-2.07


13.
Density functional theory data (PBE) for a geometry-optimized KIn2BiH structure.

Cell lengths 5.0120, 5.0120, 5.0153 Å; angles 90.00, 90.00, 90.00 degrees
With the nearest neighbours (Å) after each atom.
Space group P4/mmm (No. 123)
Inequivalent atoms, fractional coordinates:
K  0.0000  0.0000  0.0000 (multiplicity 1)  2 H 2.51
In  0.0000  0.5000  0.5000 (multiplicity 2)  2 H 2.51
Bi  0.5000  0.5000  0.0000 (multiplicity 1)  4 K 3.54, 8 In 3.55
H  0.0000  0.0000  0.5000 (multiplicity 1)  4 In 2.51, 2 K 2.51


no.,energy (eV per atom),size of the total moment (μB per atom)
1,-2.885,0.00
2,-2.795,0.00
3,-2.924,0.00
4,-3.242,0.00
5,-3.265,0.00
6,-3.211,0.00
7,-3.031,0.00
8,-3.090,0.00
9,-3.173,0.00
10,-2.922,0.00
11,-3.163,0.00
12,-2.974,0.00
13,-2.746,0.00